[1]
Computed, not measured: UPaGeRu after structural relaxation at the PBE level of DFT.

Cell and atoms, written as POSCAR:
```
UPaGeRu
1.0
-1.393 4.574 0.330
-2.851 1.885 -3.360
-4.561 1.047 1.038
Ru Ge U Pa
1 1 1 1
Cartesian
0.000 0.000 0.000 Ru
-2.201 1.877 -0.498 Ge
-4.402 3.753 -0.996 U
-6.604 5.630 -1.494 Pa
```

Results
size of the total moment: 1.133 μB per atom
energy of formation from the pure elements: -0.04 eV/atom
volume: 19.5 Å³/atom

[2]
Computed, not measured: CsPtF after structural relaxation at the PBE level of DFT.

Cell and atoms, written as POSCAR:
```
CsPtF
1.0
-9.602 -2.428 -1.316
0.862 -3.236 -0.315
-0.960 -1.142 9.108
F Cs Pt
4 4 4
Cartesian
-7.212 -2.899 1.081 F
-2.487 -3.907 6.396 F
-7.261 -5.088 5.477 F
-2.439 -1.718 2.000 F
0.406 -2.712 2.039 Cs
-5.305 -2.879 6.092 Cs
-10.106 -4.094 5.438 Cs
-4.395 -3.927 1.384 Cs
-2.705 -4.165 8.455 Pt
-2.655 -1.976 4.059 Pt
-6.995 -2.641 -0.978 Pt
-7.045 -4.830 3.418 Pt
```

Results
size of the total moment: 0.125 μB per atom
energy relative to the lowest polymorph listed for this composition: 0.775 eV/atom
volume: 25.8 Å³/atom

[3]
Computed, not measured: Y6Zn5Ge after structural relaxation at the PBE level of DFT.

Cell and atoms, written as POSCAR:
```
Y6Zn5Ge
1.0
-4.328 -2.363 1.095
0.927 -4.292 -5.602
1.639 -6.107 4.951
Zn Y Ge
5 6 1
Cartesian
-0.818 -2.924 2.105 Zn
-1.870 -5.546 3.940 Zn
-1.331 -7.790 1.227 Zn
0.463 -2.146 -2.801 Zn
-0.430 -4.973 -0.783 Zn
-1.465 -4.417 -3.674 Y
-2.837 -5.069 1.147 Y
-1.936 -2.239 -0.832 Y
1.075 -7.693 -0.703 Y
-2.375 -7.209 -1.645 Y
0.613 -5.553 2.089 Y
0.000 0.000 0.000 Ge
```

Results
size of the total moment: 0.000 μB per atom
energy of formation from the pure elements: -0.44 eV/atom
volume: 22.8 Å³/atom

Repeat the third record exactly.
Computed, not measured: Y6Zn5Ge after structural relaxation at the PBE level of DFT.

Cell and atoms, written as POSCAR:
```
Y6Zn5Ge
1.0
-4.328 -2.363 1.095
0.927 -4.292 -5.602
1.639 -6.107 4.951
Zn Y Ge
5 6 1
Cartesian
-0.818 -2.924 2.105 Zn
-1.870 -5.546 3.940 Zn
-1.331 -7.790 1.227 Zn
0.463 -2.146 -2.801 Zn
-0.430 -4.973 -0.783 Zn
-1.465 -4.417 -3.674 Y
-2.837 -5.069 1.147 Y
-1.936 -2.239 -0.832 Y
1.075 -7.693 -0.703 Y
-2.375 -7.209 -1.645 Y
0.613 -5.553 2.089 Y
0.000 0.000 0.000 Ge
```

Results
size of the total moment: 0.000 μB per atom
energy of formation from the pure elements: -0.44 eV/atom
volume: 22.8 Å³/atom

What did the first record say?
Computed, not measured: UPaGeRu after structural relaxation at the PBE level of DFT.

Cell and atoms, written as POSCAR:
```
UPaGeRu
1.0
-1.393 4.574 0.330
-2.851 1.885 -3.360
-4.561 1.047 1.038
Ru Ge U Pa
1 1 1 1
Cartesian
0.000 0.000 0.000 Ru
-2.201 1.877 -0.498 Ge
-4.402 3.753 -0.996 U
-6.604 5.630 -1.494 Pa
```

Results
size of the total moment: 1.133 μB per atom
energy of formation from the pure elements: -0.04 eV/atom
volume: 19.5 Å³/atom

The highest size of the total moment belongs to which entry?
UPaGeRu

The highest size of the total moment belongs to which entry?
UPaGeRu